8
Lattice="5.129 0.000 -1.385 -0.367 5.122 -1.361 -0.479 -0.543 8.419" Properties=species:S:1:pos:R:3 comment="La3NdAu4 (PBE-GGA, relaxed)" ef_kj_per_mol_fu=-598 dft_energy_ev_per_cell=-38.9 sg="C2/m (12)" pbc="T T T"
Au 0.466 0.495 1.727
La -0.184 2.561 -0.681
Au 1.436 1.524 5.318
La 3.513 1.006 2.821
Au 3.816 4.084 3.946
La 0.770 3.573 2.852
Nd 2.565 0.000 -0.692
Au 2.847 3.055 0.355


4
Lattice="-2.597 -1.888 4.060 -4.379 -2.660 -0.738 -0.104 -5.103 0.860" Properties=species:S:1:pos:R:3 comment="LaNdNiAu (PBE-GGA, relaxed)" ef_kj_per_mol_fu=-177 e_above_lowest_polymorph_mev_per_atom=76 dft_energy_ev_per_cell=-20.6 sg="F-43m (216)" pbc="T T T"
Ni -5.310 -7.238 3.137
La -3.540 -4.826 2.091
Nd 0.000 0.000 0.000
Au -1.770 -2.413 1.046


4
Lattice="3.964 0.000 0.000 0.000 4.689 0.000 -1.982 0.000 5.425" Properties=species:S:1:pos:R:3 comment="LaNdNiAu (PBE-GGA, relaxed)" ef_kj_per_mol_fu=-206 e_above_lowest_polymorph_mev_per_atom=0 dft_energy_ev_per_cell=-20.9 sg="Amm2 (38)" pbc="T T T"
Ni 0.000 0.000 4.553
Au 1.982 2.345 0.835
Nd 1.982 2.345 3.940
La 0.000 0.000 1.522


7
Lattice="4.248 -0.001 -0.001 0.000 7.259 0.315 2.121 3.351 6.881" Properties=species:S:1:pos:R:3 comment="La2Nd2RhAu2 (PBE-GGA, relaxed)" ef_kj_per_mol_fu=-414 dft_energy_ev_per_cell=-37.6 sg="C2/m (12)" pbc="T T T"
La 2.122 3.468 4.059
Au 2.122 7.054 5.362
La 4.246 7.141 3.136
Au 4.247 3.555 1.833
Nd 4.245 5.259 6.959
Rh 0.000 0.000 0.000
Nd 2.123 5.350 0.236


7
Lattice="4.040 0.000 0.001 0.003 7.654 -0.060 2.021 3.159 6.691" Properties=species:S:1:pos:R:3 comment="La2Nd2RuAu2 (PBE-GGA, relaxed)" ef_kj_per_mol_fu=-333 dft_energy_ev_per_cell=-38.7 sg="P-1 (2)" pbc="T T T"
Nd 2.018 2.011 0.359
Au 4.038 4.119 1.625
Ru 0.000 0.000 0.000
La 4.048 7.144 2.637
Au 2.025 6.695 5.007
Nd 4.045 8.802 6.273
La 2.015 3.670 3.994


4
Lattice="-1.920 2.201 -4.241 2.593 -0.270 -4.441 -1.775 -2.931 -3.844" Properties=species:S:1:pos:R:3 comment="LaNdRuAu (PBE-GGA, relaxed)" ef_kj_per_mol_fu=-167 dft_energy_ev_per_cell=-24.0 sg="F-43m (216)" pbc="T T T"
La 0.000 0.000 0.000
Au -0.275 -0.250 -3.131
Nd -0.551 -0.500 -6.263
Ru -0.826 -0.750 -9.394


4
Lattice="-3.806 3.287 -1.575 -5.059 -1.281 0.736 -2.883 2.595 3.567" Properties=species:S:1:pos:R:3 comment="LaNdSiAu (PBE-GGA, relaxed)" e_form_raw_mev_per_atom=-629 dft_energy_ev_per_cell=-20.9 sg="F-43m (216)" pbc="T T T"
Au -8.811 3.451 2.046
Nd 0.000 0.000 0.000
Si -2.937 1.150 0.682
La -5.874 2.301 1.364


4
Lattice="-1.884 -3.868 -0.637 -0.921 -2.556 3.396 -7.889 1.149 1.509" Properties=species:S:1:pos:R:3 comment="LaNdTeAu (PBE-GGA, relaxed)" e_form_raw_mev_per_atom=-1096 dft_energy_ev_per_cell=-20.5 sg="R3m (160)" pbc="T T T"
Au -7.860 1.135 1.507
La -2.564 -1.371 1.058
Nd -8.128 -3.906 3.210
Te -5.380 -2.622 2.137


12
Lattice="6.250 0.000 -1.600 0.000 7.252 0.000 -1.807 0.000 8.436" Properties=species:S:1:pos:R:3 comment="La4NiAu (PBE-GGA, relaxed)" ef_kj_per_mol_fu=-220 e_above_lowest_polymorph_mev_per_atom=0 dft_energy_ev_per_cell=-62.1 sg="P2_1/m (11)" pbc="T T T"
La 0.360 3.600 6.041
Au 0.198 5.439 3.507
La 4.083 7.227 0.795
La 4.083 3.652 0.795
La 3.221 5.439 4.157
La 0.360 0.026 6.041
La 0.802 5.439 0.516
Au 4.244 1.813 3.329
La 1.222 1.813 2.679
La 3.641 1.813 6.320
Ni 2.031 1.813 -0.082
Ni 2.412 5.439 6.917


5
Lattice="-4.144 -2.529 -2.459 3.254 -1.277 -4.171 0.514 -5.177 -1.564" Properties=species:S:1:pos:R:3 comment="La2Ni2Au (PBE-GGA, relaxed)" ef_kj_per_mol_fu=-202 e_above_lowest_polymorph_mev_per_atom=125 dft_energy_ev_per_cell=-26.8 sg="I4/mmm (139)" pbc="T T T"
Au 0.000 0.000 0.000
La 1.661 -4.178 -4.525
Ni -0.226 -6.075 -5.416
Ni -0.151 -2.907 -2.778
La -2.038 -4.804 -3.669


4
Lattice="3.888 0.000 0.000 0.000 3.889 0.006 0.000 1.925 4.841" Properties=species:S:1:pos:R:3 comment="LaNi2Au (PBE-GGA, relaxed)" ef_kj_per_mol_fu=-117 dft_energy_ev_per_cell=-21.0 sg="Pm (6)" pbc="T T T"
La 1.944 4.594 3.980
Ni 0.000 2.646 4.804
Au 0.000 2.668 1.988
Ni 1.944 0.739 1.340


8
Lattice="4.440 0.000 0.000 0.000 4.440 0.000 2.220 2.220 8.813" Properties=species:S:1:pos:R:3 comment="LaNi2Au (PBE-GGA, relaxed)" ef_kj_per_mol_fu=-66 dft_energy_ev_per_cell=-40.9 sg="I-42d (122)" pbc="T T T"
Ni 4.128 1.110 2.203
La 2.220 4.440 4.406
Au 4.440 2.220 4.406
Ni 5.551 1.907 6.610
Ni 4.753 3.330 2.203
Au 0.000 0.000 0.000
La 2.220 2.220 0.000
Ni 3.330 2.533 6.610


6
Lattice="-4.809 -3.057 2.611 -1.921 1.523 5.769 -5.494 2.907 0.808" Properties=species:S:1:pos:R:3 comment="La4NiAu (PBE-GGA, relaxed)" ef_kj_per_mol_fu=299 e_above_lowest_polymorph_mev_per_atom=895 dft_energy_ev_per_cell=-25.7 sg="F-43m (216)" pbc="T T T"
Au 0.000 0.000 0.000
La -6.986 -1.009 4.750
Ni -9.167 1.029 6.891
La -7.327 1.964 3.852
La -4.588 0.515 3.449
La -5.546 1.274 6.325


7
Lattice="5.273 0.000 0.000 0.000 5.273 0.000 -2.637 -2.637 7.730" Properties=species:S:1:pos:R:3 comment="La4NiAu2 (PBE-GGA, relaxed)" ef_kj_per_mol_fu=-276 dft_energy_ev_per_cell=-34.9 sg="I4/mmm (139)" pbc="T T T"
Ni 0.000 0.000 0.000
La 0.000 2.637 0.000
La 2.637 2.637 4.786
Au 2.637 2.637 1.870
La 2.637 0.000 0.000
La 0.000 0.000 2.944
Au 0.000 0.000 5.860


4
Lattice="4.425 0.000 0.000 2.212 3.832 0.000 2.212 1.277 4.608" Properties=species:S:1:pos:R:3 comment="LaNi2Au (PBE-GGA, relaxed)" ef_kj_per_mol_fu=-158 dft_energy_ev_per_cell=-21.4 sg="R-3m (166)" pbc="T T T"
La 0.000 0.000 0.000
Ni 6.637 3.832 2.639
Au 4.425 2.555 2.304
Ni 2.212 1.277 1.969


5
Lattice="-1.623 3.315 0.209 -1.707 -0.633 -3.217 -8.017 -2.023 2.527" Properties=species:S:1:pos:R:3 comment="La2Ni2Au (PBE-GGA, relaxed)" ef_kj_per_mol_fu=-165 e_above_lowest_polymorph_mev_per_atom=202 dft_energy_ev_per_cell=-26.4 sg="I4/mmm (139)" pbc="T T T"
La -8.163 0.122 0.059
Au 0.000 0.000 0.000
Ni -5.694 -0.657 -1.097
La -3.183 0.537 -0.541
Ni -5.652 1.317 0.616


4
Lattice="7.151 -0.028 -0.056 -2.550 3.500 0.032 2.051 1.453 2.836" Properties=species:S:1:pos:R:3 comment="LaNi2Au (PBE-GGA, relaxed)" ef_kj_per_mol_fu=-83 dft_energy_ev_per_cell=-20.6 sg="C2/m (12)" pbc="T T T"
La 2.300 1.736 -0.012
Ni 4.601 0.712 1.390
Au -0.250 2.477 1.434
Ni 0.000 0.000 0.000


5
Lattice="-2.135 1.863 -2.612 1.718 -2.134 -2.927 -5.895 -3.836 2.082" Properties=species:S:1:pos:R:3 comment="La2Ni2Au (PBE-GGA, relaxed)" ef_kj_per_mol_fu=-263 e_above_lowest_polymorph_mev_per_atom=0 dft_energy_ev_per_cell=-27.4 sg="Cmmm (65)" pbc="T T T"
Ni -1.989 -1.937 0.244
La -4.781 -2.684 -0.850
Ni -2.187 -4.033 -1.089
La -1.530 -1.423 -2.607
Au 0.000 0.000 0.000


14
Lattice="-1.860 -6.833 1.325 7.033 0.518 1.710 -4.403 4.991 5.395" Properties=species:S:1:pos:R:3 comment="La4Ni2Au (PBE-GGA, relaxed)" ef_kj_per_mol_fu=-268 dft_energy_ev_per_cell=-74.6 sg="Cc (9)" pbc="T T T"
Au -5.799 -1.581 6.687
La -2.005 -0.363 6.547
Au -1.413 -2.199 4.236
La 4.357 -3.067 3.361
Ni 1.879 -3.637 4.836
Ni -0.194 0.402 4.258
La 1.580 3.220 5.797
La 2.004 -0.604 5.524
La -1.784 2.809 4.363
La 1.709 1.572 2.461
Ni 3.459 -0.877 1.702
Ni -4.400 0.837 6.022
La 5.025 0.613 3.694
La 0.990 -2.058 2.316


4
Lattice="5.481 -0.042 0.036 4.138 3.594 0.036 1.942 0.717 4.136" Properties=species:S:1:pos:R:3 comment="LaNiAu2 (PBE-GGA, relaxed)" ef_kj_per_mol_fu=-148 dft_energy_ev_per_cell=-18.8 sg="C2/m (12)" pbc="T T T"
Au 5.554 2.051 2.218
Au 2.169 0.801 4.021
La 2.890 1.067 1.052
Ni 8.670 3.202 3.155


11
Lattice="-3.774 -1.205 0.586 1.697 -1.928 6.960 -2.219 8.200 2.567" Properties=species:S:1:pos:R:3 comment="La4Ni2Au5 (PBE-GGA, relaxed)" ef_kj_per_mol_fu=-723 dft_energy_ev_per_cell=-55.1 sg="P2/m (10)" pbc="T T T"
Au -0.047 0.789 1.316
Au 0.848 -0.964 3.480
Au -0.728 4.519 4.603
Au -0.475 5.483 8.211
Au 0.206 1.752 4.924
La -3.428 6.001 3.947
Ni -1.292 5.027 2.014
La -0.868 -0.934 6.167
La -1.939 2.880 7.116
Ni 0.770 1.245 7.513
La -2.357 2.186 2.997


4
Lattice="4.543 -0.010 -0.013 2.276 3.932 -0.013 2.295 1.320 4.815" Properties=species:S:1:pos:R:3 comment="LaNiAu2 (PBE-GGA, relaxed)" ef_kj_per_mol_fu=-193 dft_energy_ev_per_cell=-19.3 sg="Cm (8)" pbc="T T T"
Au 2.277 1.310 0.744
La 4.559 2.622 2.464
Ni 6.839 3.933 4.408
Au 2.294 1.319 4.382


6
Lattice="3.819 0.000 0.000 0.000 4.797 0.000 0.000 0.000 7.778" Properties=species:S:1:pos:R:3 comment="La2NiAu3 (PBE-GGA, relaxed)" ef_kj_per_mol_fu=-395 dft_energy_ev_per_cell=-29.6 sg="Pmm2 (25)" pbc="T T T"
La 0.000 2.398 0.155
Ni 1.909 2.398 2.391
Au 1.909 0.000 6.502
La 0.000 0.000 3.896
Au 1.909 0.000 1.495
Au 1.909 2.398 5.006


4
Lattice="3.516 0.000 0.000 0.000 3.430 0.047 0.000 3.328 6.041" Properties=species:S:1:pos:R:3 comment="LaNi2Au (PBE-GGA, relaxed)" ef_kj_per_mol_fu=-36 dft_energy_ev_per_cell=-20.1 sg="P2/m (10)" pbc="T T T"
Ni 0.000 3.391 2.802
Au 1.758 1.690 1.522
La 1.758 5.069 4.566
Ni 0.000 3.419 0.289


8
Lattice="3.954 0.000 0.000 0.000 4.602 0.000 0.000 0.000 10.715" Properties=species:S:1:pos:R:3 comment="La4Ni3Au (PBE-GGA, relaxed)" ef_kj_per_mol_fu=-335 dft_energy_ev_per_cell=-43.8 sg="Pmm2 (25)" pbc="T T T"
La 1.977 2.301 4.059
La 0.000 2.301 9.086
La 1.977 0.000 6.825
Ni 0.000 0.000 4.613
Ni 0.000 2.301 6.174
Au 1.977 2.301 0.815
La 0.000 0.000 1.483
Ni 1.977 0.000 9.806


11
Lattice="6.954 -0.003 -1.116 0.003 7.132 0.003 -1.547 -0.002 6.871" Properties=species:S:1:pos:R:3 comment="La7Ni2Au2 (PBE-GGA, relaxed)" ef_kj_per_mol_fu=-312 dft_energy_ev_per_cell=-55.8 sg="Cmmm (65)" pbc="T T T"
La 3.475 1.866 -0.555
Ni 0.991 -0.002 4.487
La 2.702 1.750 2.880
Ni 4.419 7.130 1.272
Au 0.962 3.565 1.024
La 2.708 5.377 2.878
La 6.179 1.864 2.323
La 1.935 5.261 6.314
Au 4.448 3.562 4.734
La 0.000 0.000 0.000
La -0.769 5.264 3.435